{"formula": "BaHgRh", "functional": "PBE", "state": "optimized geometry", "energy_ev_per_atom": -3.504, "density_g_cm3": 8.14, "e_form_mev_per_atom": -312, "cell": [[4.3825, -0.0328, -0.8762], [-0.2257, 4.6762, -1.3037], [-0.4964, -0.0680, 8.8995]], "species": ["Ba", "Ba", "Hg", "Hg", "Rh", "Rh"], "frac_coords": [[0.3559, 0.1061, 0.2123], [0.6441, 0.8939, 0.7877], [0.9460, 0.6967, 0.3934], [0.0540, 0.3033, 0.6066], [0.7810, 0.5311, 0.0621], [0.2190, 0.4689, 0.9379]]}